Record 1
This record from Alexandria via LeMat-Bulk describes NaLa2O after structural relaxation. The functional is PBE.

The structure in POSCAR format:
```
NaLa2O
1.0
-2.6898 -0.2907 -2.5291
-2.7217 -2.4678 0.4667
-7.2465 6.0268 4.3025
O Na La
1 1 2
direct
0.5000 0.5000 0.5000
0.0000 0.0000 0.0000
0.1211 0.1211 0.6368
0.8789 0.8789 0.3632
```

- ΔE_f (raw) (eV/atom) = -1.172

---

Record 2
This record from Alexandria via LeMat-Bulk describes FeCoI5 after structural relaxation. The functional is PBE.

The structure in POSCAR format:
```
FeCoI5
1.0
8.2555 0.0000 0.0000
0.0000 12.4921 0.0000
0.0000 0.0000 13.8964
I Co Fe
20 4 4
direct
0.2500 0.4205 0.1065
0.9960 0.2272 0.3847
0.0040 0.7728 0.6153
0.7500 0.0940 0.1491
0.7500 0.4382 0.1746
0.2500 0.9060 0.8509
0.2500 0.5618 0.8254
0.7500 0.5795 0.8935
0.5040 0.2728 0.8847
0.5040 0.2272 0.3847
0.2500 0.9382 0.3254
0.9960 0.2728 0.8847
0.2500 0.5940 0.3509
0.7500 0.4060 0.6491
0.2500 0.0795 0.6065
0.7500 0.9205 0.3935
0.4960 0.7728 0.6153
0.0040 0.7272 0.1153
0.7500 0.0618 0.6746
0.4960 0.7272 0.1153
0.7500 0.1143 0.3261
0.2500 0.8857 0.6739
0.7500 0.3857 0.8261
0.2500 0.6143 0.1739
0.2500 0.3943 0.9199
0.7500 0.8943 0.5801
0.2500 0.1057 0.4199
0.7500 0.6057 0.0801
```

- ΔE_f (raw) (eV/atom) = -0.057

---

Record 3
This record from Alexandria via LeMat-Bulk describes Na2LaZrSi after structural relaxation. The functional is PBE.

The structure in POSCAR format:
```
Na2LaZrSi
1.0
-4.5958 1.7187 -2.7436
-0.7309 -4.8917 -1.8402
-3.1425 -1.2226 4.4981
Na Zr La Si
2 1 1 1
direct
0.0000 0.0000 0.5000
0.5000 0.0000 0.0000
0.0000 0.5000 0.0000
0.0000 0.0000 0.0000
0.5000 0.5000 0.5000
```

- ΔE_f (raw) (eV/atom) = 1.455

---

Record 4
This record from Alexandria via LeMat-Bulk describes Sm2In5Br12 after structural relaxation. The functional is PBE.

The structure in POSCAR format:
```
Sm2In5Br12
1.0
-2.1464 6.0940 4.0635
2.4062 -2.2096 9.4066
8.4829 3.8782 3.4866
Br Sm In
12 2 5
direct
0.7718 0.4777 0.8601
0.7459 0.0929 0.7104
0.2282 0.5223 0.1399
0.7459 0.7104 0.0929
0.2541 0.9071 0.2896
0.2028 0.9173 0.9173
0.2541 0.2896 0.9071
0.7718 0.8601 0.4777
0.2282 0.1399 0.5223
0.7940 0.4783 0.4783
0.7972 0.0827 0.0827
0.2060 0.5217 0.5217
0.0000 0.7494 0.2506
0.0000 0.2506 0.7494
0.4842 0.6512 0.6512
0.9990 0.7486 0.7486
0.0010 0.2514 0.2514
0.5000 0.0000 0.0000
0.5158 0.3488 0.3488
```

- ΔE_f (raw) (eV/atom) = -1.141

---

Record 5
This record from Alexandria via LeMat-Bulk describes Cu3SbBr2F6 after structural relaxation. The functional is PBE.

The structure in POSCAR format:
```
Cu3SbBr2F6
1.0
5.1110 0.0000 -0.3526
0.0000 6.6968 0.0000
-1.2396 -3.3484 6.6265
F Cu Sb Br
6 3 1 2
direct
0.2905 0.1011 0.2023
0.2727 0.1302 0.8479
0.7273 0.8698 0.1521
0.7273 0.2823 0.1521
0.7095 0.8989 0.7977
0.2727 0.7177 0.8479
0.0000 0.5000 0.0000
0.5000 0.5000 0.5000
0.5000 0.0000 0.5000
0.5000 0.0000 0.0000
0.1995 0.6771 0.3543
0.8005 0.3229 0.6457
```

- ΔE_f (raw) (eV/atom) = -1.400

---

Record 6
This record from Alexandria via LeMat-Bulk describes CaTi2OsF after structural relaxation. The functional is PBE.

The structure in POSCAR format:
```
CaTi2OsF
1.0
-2.3083 2.8965 3.4011
-3.1549 -0.0195 -2.1247
-1.6005 -4.1103 2.4142
F Os Ti Ca
1 1 2 1
direct
0.0000 0.5000 0.0000
0.5000 0.5000 0.5000
0.0000 0.0000 0.5000
0.5000 0.0000 0.0000
0.0000 0.0000 0.0000
```

- ΔE_f (raw) (eV/atom) = 0.875

---

Record 7
This record from Alexandria via LeMat-Bulk describes Ti3BeFe2 after structural relaxation. The functional is PBE.

The structure in POSCAR format:
```
Ti3BeFe2
1.0
2.9585 0.0000 0.0000
0.0000 2.9585 0.0000
0.0000 0.0000 8.7610
Ti Fe Be
3 2 1
direct
0.0000 0.0000 0.0000
0.0000 0.0000 0.6647
0.0000 0.0000 0.3353
0.5000 0.5000 0.8307
0.5000 0.5000 0.1693
0.5000 0.5000 0.5000
```

---

Record 8
This record from Alexandria via LeMat-Bulk describes LaSn after structural relaxation. The functional is PBE.

The structure in POSCAR format:
```
LaSn
1.0
-2.8655 0.1780 -11.8031
2.0343 -11.9568 -0.6742
-3.4897 -0.6410 0.8376
La Sn
8 8
direct
0.6163 0.6866 0.5000
0.8134 0.1163 0.0000
0.3134 0.6163 0.5000
0.3837 0.3134 0.5000
0.1163 0.1866 0.0000
0.8837 0.8134 0.0000
0.6866 0.3837 0.5000
0.1866 0.8837 0.0000
0.8653 0.5808 0.5000
0.6347 0.9192 0.0000
0.5808 0.1347 0.5000
0.9192 0.3653 0.0000
0.4192 0.8653 0.5000
0.1347 0.4192 0.5000
0.3653 0.0808 0.0000
0.0808 0.6347 0.0000
```

---

Record 9
This record from Alexandria via LeMat-Bulk describes CdH after structural relaxation. The functional is PBE.

The structure in POSCAR format:
```
CdH
1.0
-6.3774 -1.6930 -3.0463
3.2422 -5.2124 -3.8906
-1.2785 -4.7731 5.3293
Cd H
8 8
direct
0.6434 0.3566 0.6434
0.8566 0.1434 0.1434
0.6434 0.6434 0.3566
0.8566 0.8566 0.8566
0.3566 0.3566 0.3566
0.1434 0.1434 0.8566
0.3566 0.6434 0.6434
0.1434 0.8566 0.1434
0.2133 0.2133 0.2133
0.2867 0.7133 0.2867
0.7133 0.7133 0.7133
0.7867 0.7867 0.2133
0.7867 0.2133 0.7867
0.2133 0.7867 0.7867
0.7133 0.2867 0.2867
0.2867 0.2867 0.7133
```

---

Record 10
This record from Alexandria via LeMat-Bulk describes Ac4SmSn5 after structural relaxation. The functional is PBE.

The structure in POSCAR format:
```
Ac4SmSn5
1.0
3.7812 0.0000 0.0000
0.0000 3.7812 0.0000
0.0000 0.0000 22.8578
Sn Ac Sm
5 4 1
direct
0.5000 0.5000 0.7044
0.5000 0.5000 0.0911
0.5000 0.5000 0.2956
0.5000 0.5000 0.5000
0.5000 0.5000 0.9089
0.0000 0.0000 0.8066
0.0000 0.0000 0.3978
0.0000 0.0000 0.1934
0.0000 0.0000 0.6022
0.0000 0.0000 0.0000
```

---

Record 11
This record from Alexandria via LeMat-Bulk describes Tb4Pm4Sm3 after structural relaxation. The functional is PBE.

The structure in POSCAR format:
```
Tb4Pm4Sm3
1.0
3.5540 0.0000 -0.6546
-0.8533 8.2297 -4.6326
0.3828 1.3612 12.0525
Tb Pm Sm
4 4 3
direct
0.7407 0.2407 0.4814
0.5000 0.1830 0.0000
0.5000 0.8170 0.0000
0.2593 0.7593 0.5186
0.3547 0.1771 0.7094
0.6453 0.4677 0.2906
0.6453 0.8229 0.2906
0.3547 0.5323 0.7094
0.8918 0.8918 0.7835
0.0000 0.5000 0.0000
0.1082 0.1082 0.2165
```

---

Record 12
This record from Alexandria via LeMat-Bulk describes K2YPb after structural relaxation. The functional is PBE.

The structure in POSCAR format:
```
K2YPb
1.0
-3.6886 6.1918 2.5330
-2.9157 -4.6934 1.1501
0.9119 0.1366 3.7963
Pb K Y
1 2 1
direct
0.5000 0.5000 0.0000
0.0000 0.0000 0.0000
0.0000 0.5000 0.5000
0.5000 0.0000 0.5000
```

---

Record 13
This record from Alexandria via LeMat-Bulk describes InSiAu2 after structural relaxation. The functional is PBE.

The structure in POSCAR format:
```
InSiAu2
1.0
4.7913 0.0000 0.0000
2.3957 4.1494 0.0000
2.3957 1.3831 3.9121
Si In Au
1 1 2
direct
0.2500 0.2500 0.2500
0.5000 0.5000 0.5000
0.7500 0.7500 0.7500
0.0000 0.0000 0.0000
```

- ΔE_f (raw) (eV/atom) = 0.241

---

Record 14
This record from Alexandria via LeMat-Bulk describes TlCuSe2 after structural relaxation. The functional is PBE.

The structure in POSCAR format:
```
TlCuSe2
1.0
7.3494 1.8783 0.0000
4.2359 6.2928 0.0000
-5.7927 -4.0856 2.7010
Cu Se Tl
1 2 1
direct
0.7500 0.2500 0.5000
0.0000 0.0000 0.0000
0.2500 0.7500 0.5000
0.5000 0.5000 0.0000
```

- ΔE_f (raw) (eV/atom) = 0.212

---

Record 15
This record from Alexandria via LeMat-Bulk describes SbPtW2 after structural relaxation. The functional is PBE.

The structure in POSCAR format:
```
SbPtW2
1.0
3.5008 0.0000 0.0000
0.0000 4.2795 0.0000
0.0000 0.0000 4.5986
W Sb Pt
2 1 1
direct
0.0000 0.0000 0.0000
0.5000 0.5000 0.0000
0.0000 0.5000 0.5000
0.5000 0.0000 0.5000
```

- ΔE_f (raw) (eV/atom) = 0.404

---

Record 16
This record from Alexandria via LeMat-Bulk describes FeAs3P after structural relaxation. The functional is PBE.

The structure in POSCAR format:
```
FeAs3P
1.0
4.5305 0.0000 0.0000
0.0000 4.5305 0.0000
0.0000 0.0000 4.5305
As Fe P
3 1 1
direct
0.0000 0.5000 0.0000
0.5000 0.0000 0.0000
0.0000 0.0000 0.5000
0.0000 0.0000 0.0000
0.5000 0.5000 0.5000
```

---

Record 17
This record from Alexandria via LeMat-Bulk describes Nd2Mg4Sc after structural relaxation. The functional is PBE.

The structure in POSCAR format:
```
Nd2Mg4Sc
1.0
-1.5177 -4.1797 2.8905
3.2781 -4.1219 0.6265
3.5504 0.5568 7.5351
Sc Mg Nd
1 4 2
direct
0.0000 0.0000 0.0000
0.8638 0.8638 0.4087
0.5682 0.5682 0.2955
0.1362 0.1362 0.5913
0.4318 0.4318 0.7045
0.7136 0.7136 0.8592
0.2864 0.2864 0.1408
```

---

Record 18
This record from Alexandria via LeMat-Bulk describes NbZnIn after structural relaxation. The functional is PBE.

The structure in POSCAR format:
```
NbZnIn
1.0
-0.1397 2.6841 1.2298
-0.3771 -1.2373 2.6576
6.6125 -0.7913 -1.0738
In Nb Zn
1 1 1
direct
0.0000 0.0000 0.0001
0.3250 0.3250 0.6501
0.6749 0.6749 0.3499
```

---

Record 19
This record from Alexandria via LeMat-Bulk describes Na4LiU3S8 after structural relaxation. The functional is PBE.

The structure in POSCAR format:
```
Na4LiU3S8
1.0
-6.3086 -3.0883 3.6637
4.3037 -6.5786 1.8653
2.7063 7.1399 2.1136
S U Na Li
8 3 4 1
direct
0.2563 0.2687 0.5125
0.7562 0.2770 0.0208
0.2439 0.7231 0.4878
0.7561 0.2769 0.5122
0.7354 0.7230 0.9792
0.2438 0.7230 0.9792
0.7437 0.7313 0.4875
0.2646 0.2770 0.0208
0.0000 0.5000 0.5000
0.5000 0.5000 0.5000
0.5000 0.5000 0.0000
0.0000 0.0000 0.0000
0.5000 0.0000 0.5000
0.5000 0.0000 0.0000
0.0000 0.0000 0.5000
0.0000 0.5000 0.0000
```

- ΔE_f (raw) (eV/atom) = -1.368

---

Record 20
This record from Alexandria via LeMat-Bulk describes SrFe2Br after structural relaxation. The functional is PBE.

The structure in POSCAR format:
```
SrFe2Br
1.0
-3.1317 -0.2141 -1.2710
0.1429 -3.4317 0.2259
-2.7489 -1.3787 7.0055
Fe Sr Br
2 1 1
direct
0.5000 0.2219 0.1819
0.0000 0.7770 0.0719
0.0000 0.5688 0.4865
0.5000 0.9324 0.7597
```

- ΔE_f (raw) (eV/atom) = 0.039

---

Calculated total energy (Ry/atom)
-0.38257; -0.24902; -0.20965; -0.25100; -0.29265; -0.38978; -0.56720; -0.34238; -0.12061; -0.34779; -0.33587; -0.21565; -0.25272; -0.23124; -0.63308; -0.36491; -0.23155; -0.33720; -0.44084; -0.36980
Total magnetization (Bohr magnetons per cell)
0.0; 32.1; 0.2; 0.5; 0.0; 0.0; 0.0; 0.0; 0.0; 0.0; 0.0; 1.0; 0.0; 0.0; 0.0; 0.0; 0.0; 0.0; 7.0; 5.2